Entry from the Open Quantum Materials Database: an optimized crystal structure of LuScGa2Au2 (PBE).

Values from the calculation:
Energy above the most stable polymorph in this dataset: 22 meV/atom
Total magnetization: 0.10 μB per cell

Cell: 4.4631 4.4631 6.7389 Å, 90.00 90.00 120.00°
Space group P-6m2 (No. 187)
One atom of each set of equivalent atoms:
Lu  0.0000  0.0000  0.0000 (multiplicity 1)
Sc  0.0000  0.0000  0.5000 (multiplicity 1)
Ga  0.3333  0.6667  0.2259 (multiplicity 2)
Au  0.6667  0.3333  0.2734 (multiplicity 2)